PBE ZrScCu, relaxed; energy relative to the lowest polymorph listed for this composition = 30 meV/atom; crystal system = orthorhombic; space group = Pnma
1.0
6.367 0.000 0.000
0.000 4.573 0.000
0.000 0.000 8.101
Sc Cu Zr
4 4 4
direct
0.018 0.250 0.808
0.482 0.750 0.308
0.982 0.750 0.192
0.518 0.250 0.692
0.741 0.250 0.400
0.759 0.750 0.900
0.259 0.750 0.600
0.241 0.250 0.100
0.163 0.250 0.424
0.337 0.750 0.924
0.837 0.750 0.576
0.663 0.250 0.076


PBE La3Ga4Pd7, relaxed; crystal system = monoclinic; space group = C2/m
1.0
0.730 -4.227 0.670
6.299 -1.999 -5.405
7.490 -0.334 3.803
La Ga Pd
3 4 7
direct
0.328 0.182 0.162
0.672 0.818 0.838
0.000 0.500 0.500
0.675 0.464 0.186
0.325 0.536 0.814
0.878 0.895 0.350
0.122 0.105 0.650
0.304 0.835 0.558
0.507 0.223 0.763
0.870 0.363 0.896
0.696 0.165 0.442
0.130 0.637 0.104
0.000 0.000 0.000
0.493 0.777 0.237


PBE SrLiMg2, relaxed; energy relative to the lowest polymorph listed for this composition = 95 meV/atom; crystal system = cubic; space group = Fm-3m
1.0
3.909 -1.042 3.759
-0.975 -3.601 4.072
2.564 -4.891 0.034
Sr Mg Li
1 2 1
direct
0.500 0.500 0.500
0.250 0.250 0.250
0.750 0.750 0.750
0.000 0.000 0.000


PBE Ni2PbAu, relaxed; crystal system = monoclinic; space group = Cm
1.0
5.102 0.056 -0.005
4.095 3.044 -0.005
1.244 0.419 4.256
Au Ni Pb
1 2 1
direct
0.268 0.268 0.191
0.020 0.020 0.031
0.727 0.727 0.729
0.485 0.485 0.548


PBE DyPuTi2, relaxed; crystal system = tetragonal; space group = P4/mmm
1.0
3.582 0.000 0.000
0.000 3.582 0.000
0.000 0.000 6.883
Dy Ti Pu
1 2 1
direct
0.500 0.500 0.500
0.000 0.000 0.797
0.000 0.000 0.203
0.500 0.500 0.000


PBE CuP2Ir, relaxed; energy relative to the lowest polymorph listed for this composition = 14 meV/atom; crystal system = orthorhombic; space group = Amm2
1.0
4.564 0.000 0.000
0.000 4.243 0.542
0.000 2.454 3.502
Cu Ir P
1 1 2
direct
0.000 0.533 0.533
0.500 0.718 0.718
0.000 0.833 0.833
0.500 0.416 0.416


no.,E_form (kJ/mol of formula units),N(E_F) (states/eV per atom)
1,-35,0.4187
2,-1127,0.4967
3,21,1.0300
4,80,0.9079
5,69,1.8291
6,-52,0.5137